Entry 1:
Computed, not measured: crystalline Nd4MgRh4O12 at its relaxed geometry at the PBE level of DFT. Values from VASP.

Relative energy among the computed polymorphs = 0 meV/atom
Crystal system = monoclinic
Space-group type = Pm (6)

Quantum ESPRESSO input file:
```
&SYSTEM
  ibrav = 0, nat = 21, ntyp = 4
/
ATOMIC_SPECIES
Nd 144.24 Nd.upf
Mg 24.30 Mg.upf
Rh 102.91 Rh.upf
O 16.00 O.upf
ATOMIC_POSITIONS angstrom
Nd 3.770 3.209 2.663
Nd 0.000 0.134 0.581
Nd 3.770 5.483 5.503
Nd 0.000 2.749 3.856
Mg 3.770 0.502 1.597
Rh 5.657 3.094 6.426
Rh 5.755 0.208 3.290
Rh 1.786 0.208 3.290
Rh 1.884 3.094 6.426
O 6.055 1.338 5.332
O 5.273 3.916 4.449
O 1.547 1.943 2.016
O 2.374 4.605 1.107
O 5.167 4.605 1.107
O 5.994 1.943 2.016
O 2.268 3.916 4.449
O 1.486 1.338 5.332
O 0.000 3.845 6.063
O 3.770 1.012 3.456
O 0.000 4.918 2.912
O 3.770 1.945 0.334
CELL_PARAMETERS angstrom
7.541 0.000 0.000
0.000 5.503 0.004
0.000 0.362 6.427
```

Entry 2:
Computed, not measured: crystalline NpPbBr2F6 at its relaxed geometry at the PBE level of DFT. Values from VASP.

Crystal system = triclinic
Space-group type = P-1 (2)

Quantum ESPRESSO input file:
```
&SYSTEM
  ibrav = 0, nat = 10, ntyp = 4
/
ATOMIC_SPECIES
Np 237.00 Np.upf
Pb 207.20 Pb.upf
Br 79.90 Br.upf
F 19.00 F.upf
ATOMIC_POSITIONS angstrom
Np 2.910 3.884 0.064
Pb 0.000 0.000 0.000
Br 2.991 7.782 1.492
Br 5.852 3.865 3.459
F 1.392 5.299 0.137
F 7.454 9.173 4.831
F 2.994 3.875 2.163
F 7.451 6.347 4.815
F 1.389 2.473 0.120
F 5.849 7.771 2.788
CELL_PARAMETERS angstrom
5.815 0.004 0.159
0.006 7.764 -0.030
3.022 3.878 4.822
```

Entry 3:
Computed, not measured: crystalline AcNb2Ge2N at its relaxed geometry at the PBE level of DFT. Values from VASP.

Crystal system = tetragonal
Space-group type = P4/mmm (123)

Quantum ESPRESSO input file:
```
&SYSTEM
  ibrav = 0, nat = 6, ntyp = 4
/
ATOMIC_SPECIES
Ac 227.00 Ac.upf
Nb 92.91 Nb.upf
Ge 72.64 Ge.upf
N 14.01 N.upf
ATOMIC_POSITIONS angstrom
Ac -2.077 1.844 -1.151
Nb -0.317 -1.380 -1.638
Nb -1.533 -1.010 1.148
Ge -4.812 0.240 -2.131
Ge -3.041 -1.332 -1.150
N 0.000 0.000 0.000
CELL_PARAMETERS angstrom
-0.635 -2.759 -3.276
-3.065 -2.020 2.296
-4.154 3.687 -2.301
```

Entry 4:
Computed, not measured: crystalline YPtS2 at its relaxed geometry at the PBE level of DFT. Values from VASP.

Relative energy among the computed polymorphs = 35 meV/atom
Crystal system = trigonal
Space-group type = R-3m (166)

Quantum ESPRESSO input file:
```
&SYSTEM
  ibrav = 0, nat = 4, ntyp = 3
/
ATOMIC_SPECIES
Y 88.91 Y.upf
S 32.06 S.upf
Pt 195.08 Pt.upf
ATOMIC_POSITIONS angstrom
Y -0.051 2.575 10.830
S -0.091 4.627 19.460
S -0.010 0.523 2.199
Pt 0.000 0.000 0.000
CELL_PARAMETERS angstrom
-2.185 0.890 7.406
1.776 0.318 7.561
0.308 3.942 6.692
```

For reference, magnetic moment by record: 2.0; 1.0; 0.0; 0.8 μB per formula unit.
For reference, formation energy without anion corrections by record: -1951.6; -2364.5; -795.1; -944.3 meV/atom.